NiPOsCl2: relaxed, GGA-PBE.

Calculated values
- Energy: -20.48 eV per cell
- Energy above the lowest structure with this stoichiometry: 0.245 eV/atom

Cell and atoms, written as POSCAR:
```
NiPOsCl2
1.0
4.374 0.000 0.000
0.000 4.374 0.000
0.000 0.000 4.839
Ni P Os Cl
1 1 1 2
Cartesian
0.000 0.000 0.000
0.000 0.000 2.420
2.187 2.187 2.420
0.000 2.187 0.000
2.187 0.000 0.000
```



Fe6NiPt2: relaxed, GGA-PBE.

Calculated values
- Energy of formation: 0.3 eV per formula unit
- Energy: -68.30 eV per cell

Cell and atoms, written as POSCAR:
```
Fe6NiPt2
1.0
6.120 -3.696 0.000
6.120 3.696 0.000
-0.208 0.000 2.574
Fe Ni Pt
6 1 2
Cartesian
6.120 2.470 0.000
3.933 1.226 1.758
7.982 1.332 2.160
3.933 -1.226 1.758
6.120 -2.470 0.000
7.982 -1.332 2.160
1.972 0.000 0.865
6.096 0.000 0.825
10.076 0.000 0.926
```



ReAu2SeI: relaxed, GGA-PBE.

Calculated values
- Energy: -14.67 eV per cell

Cell and atoms, written as POSCAR:
```
ReAu2SeI
1.0
5.311 0.000 0.000
0.000 5.311 0.000
0.000 0.000 5.453
Re Au Se I
1 2 1 1
Cartesian
0.000 0.000 0.000
0.000 2.656 2.727
2.656 0.000 2.727
2.656 2.656 0.000
2.656 2.656 2.727
```



BaHgSe2: relaxed, GGA-PBE.

Calculated values
- Energy: -53.79 eV per cell

Cell and atoms, written as POSCAR:
```
BaHgSe2
1.0
7.818 0.000 0.000
0.000 7.818 0.000
0.000 0.000 7.610
Ba Hg Se
4 4 8
Cartesian
0.000 0.000 1.902
0.000 0.000 5.707
3.909 3.909 1.902
3.909 3.909 5.707
0.000 3.909 1.902
0.000 3.909 5.707
3.909 0.000 1.902
3.909 0.000 5.707
1.422 2.487 0.000
1.422 5.331 3.805
2.487 1.422 3.805
2.487 6.396 0.000
5.331 1.422 0.000
5.331 6.396 3.805
6.396 2.487 3.805
6.396 5.331 0.000
```



Mn2MoCl: relaxed, GGA-PBE.

Calculated values
- Energy: -58.34 eV per cell
- Energy above the lowest structure with this stoichiometry: 0.319 eV/atom

Cell and atoms, written as POSCAR:
```
Mn2MoCl
1.0
8.645 0.000 0.000
0.000 2.880 0.000
-0.022 0.000 4.858
Mn Mo Cl
4 2 2
Cartesian
0.000 0.000 0.000
2.045 1.440 0.802
4.323 1.440 0.000
6.368 0.000 0.802
2.476 0.000 3.412
6.798 1.440 3.412
0.561 1.440 2.604
4.884 0.000 2.604
```



ErMnTcP2: relaxed, GGA-PBE.

Calculated values
- Energy of formation: -4.4 eV per formula unit
- Energy: -78.65 eV per cell

Cell and atoms, written as POSCAR:
```
ErMnTcP2
1.0
3.990 0.000 0.000
0.000 3.990 0.000
0.000 0.000 9.601
Er Mn Tc P
2 2 2 4
Cartesian
0.000 0.000 0.000
1.995 1.995 4.801
0.000 1.995 7.201
1.995 0.000 2.400
0.000 1.995 2.400
1.995 0.000 7.201
0.000 0.000 3.582
0.000 0.000 6.019
1.995 1.995 1.219
1.995 1.995 8.382
```



La2Tb6Dy3Ho: relaxed, GGA-PBE.

Calculated values
- Energy of formation: 0.2 eV per formula unit
- Energy: -55.78 eV per cell

Cell and atoms, written as POSCAR:
```
La2Tb6Dy3Ho
1.0
3.106 -5.379 0.000
3.106 5.379 0.000
-2.068 0.000 11.702
La Tb Dy Ho
2 6 3 1
Cartesian
3.106 3.588 0.000
3.106 -3.588 0.000
0.004 1.786 8.729
1.048 0.000 2.976
0.004 -1.786 8.729
4.140 1.786 2.973
3.097 0.000 8.726
4.140 -1.786 2.973
-1.034 0.000 5.851
2.072 1.789 5.851
2.072 -1.789 5.851
3.106 0.000 0.000
```



Question: Which of these has the highest energy?
Answer: ReAu2SeI



Question: Among the records above, which one has the highest energy?
Answer: ReAu2SeI